Material: LaTbO3
Method: DFT, PBE-GGA
State: optimized geometry

The structure in POSCAR format:
```
LaTbO3
1.0
5.847 0.000 0.000
0.000 3.977 0.000
-1.510 0.000 8.210
La Tb O
2 2 6
Direct
0.226 0.250 0.395 La
0.774 0.750 0.605 La
0.392 0.250 0.833 Tb
0.608 0.750 0.167 Tb
0.063 0.250 0.657 O
0.433 0.250 0.117 O
0.447 0.750 0.383 O
0.553 0.250 0.617 O
0.567 0.750 0.883 O
0.937 0.750 0.343 O
```

uncorrected energy: -0.306 Ha/atom
mass density: 6.016 g cm⁻³
total moment: 0.00 μB/cell
energy relative to the elements, uncorrected: -3.432 eV/atom